Density functional theory data (PBE-GGA) for crystalline Li2SbRh2O6 at its relaxed geometry.

Output
ΔE_f (raw)   -1.1747 eV per atom
N(E_F)   0.390 states/eV per atom
Uncorrected energy   -5.939 eV/atom

Structure (POSCAR):
```
Li2SbRh2O6
1.0
-0.490 4.886 2.362
0.816 -4.384 3.133
4.711 0.468 -2.357
O Li Sb Rh
6 2 1 2
Direct
0.405 0.068 0.715
0.237 0.237 0.282
0.932 0.595 0.285
0.763 0.763 0.718
0.068 0.405 0.715
0.595 0.932 0.285
0.194 0.806 0.000
0.806 0.194 0.000
0.000 0.000 0.500
0.664 0.336 0.500
0.336 0.664 0.500
```

---

Density functional theory data (PBE-GGA) for crystalline Ce2PuAu6 at its relaxed geometry.

Output
N(E_F)   2.572 states/eV per atom
ΔE_f   -0.61 eV/atom
Uncorrected energy   -5.703 eV/atom

Structure (POSCAR):
```
Ce2PuAu6
1.0
3.271 0.000 0.000
0.001 7.302 4.199
-0.001 0.015 8.424
Au Ce Pu
6 2 1
Direct
0.500 0.000 0.333
0.500 0.667 0.000
0.500 0.000 0.667
0.500 0.333 0.000
0.500 0.333 0.667
0.500 0.667 0.333
0.000 0.333 0.333
0.000 0.667 0.667
0.000 0.000 0.000
```

---

Density functional theory data (PBE-GGA) for crystalline PaTa2H8 at its relaxed geometry.

Output
N(E_F)   0.581 states/eV per atom
Uncorrected energy   -5.599 eV/atom

Structure (POSCAR):
```
PaTa2H8
1.0
3.286 0.131 0.197
-0.379 5.430 -0.184
-0.379 -2.261 4.940
H Ta Pa
8 2 1
Direct
0.500 0.244 0.756
0.316 0.620 0.620
0.025 0.018 0.312
0.975 0.688 0.982
0.500 0.756 0.244
0.975 0.982 0.688
0.025 0.312 0.018
0.684 0.380 0.380
0.000 0.342 0.658
0.000 0.658 0.342
0.500 0.000 0.000
```

---

Density functional theory data (PBE-GGA) for crystalline Dy9Er4Hg11 at its relaxed geometry.

Output
N(E_F)   0.969 states/eV per atom
ΔE_f   -0.37 eV/atom
Uncorrected energy   -2.996 eV/atom

Structure (POSCAR):
```
Dy9Er4Hg11
1.0
-1.284 -0.548 3.255
-12.518 -1.837 -5.245
6.615 -11.978 0.591
Hg Dy Er
11 9 4
Direct
0.000 0.176 0.824
0.000 0.771 0.771
0.000 0.229 0.229
0.000 0.371 0.629
0.000 0.944 0.587
0.000 0.824 0.176
0.000 0.587 0.944
0.000 0.056 0.413
0.000 0.413 0.056
0.000 0.000 0.000
0.000 0.629 0.371
0.500 0.204 0.026
0.500 0.378 0.852
0.500 0.974 0.796
0.500 0.622 0.148
0.500 0.500 0.500
0.500 0.026 0.204
0.500 0.852 0.378
0.500 0.148 0.622
0.500 0.796 0.974
0.500 0.252 0.425
0.500 0.748 0.575
0.500 0.575 0.748
0.500 0.425 0.252
```

---

Density functional theory data (PBE-GGA) for crystalline Li2TbMg2Cd2 at its relaxed geometry.

Output
N(E_F)   0.396 states/eV per atom
ΔE_f   -0.13 eV/atom
Uncorrected energy   -2.051 eV/atom

Structure (POSCAR):
```
Li2TbMg2Cd2
1.0
4.883 0.000 0.000
-2.442 4.183 -0.400
0.000 -2.187 7.536
Li Tb Mg Cd
2 1 2 2
Direct
0.727 0.455 0.177
0.273 0.545 0.823
0.000 0.000 0.000
0.145 0.291 0.431
0.855 0.709 0.569
0.421 0.842 0.254
0.579 0.158 0.746
```

---

Density functional theory data (PBE-GGA) for crystalline Sr2NdAg at its relaxed geometry.

Output
N(E_F)   1.114 states/eV per atom
ΔE_f   0.05 eV/atom
Uncorrected energy   -2.697 eV/atom

Structure (POSCAR):
```
Sr2NdAg
1.0
-0.392 0.457 -3.978
-0.498 -3.224 -2.356
-11.255 -0.089 -0.935
Sr Nd Ag
2 1 1
Direct
0.069 0.069 0.792
0.264 0.264 0.208
0.500 0.500 0.499
0.667 0.667 0.000
```

---

Density functional theory data (PBE-GGA) for crystalline ZrPaTeP at its relaxed geometry.

Output
ΔE_f (raw)   -1.0514 eV per atom
N(E_F)   1.439 states/eV per atom
Uncorrected energy   -7.700 eV/atom

Structure (POSCAR):
```
ZrPaTeP
1.0
3.776 0.002 -0.001
-1.886 3.268 0.000
-1.890 -1.091 7.507
Pa Te P Zr
1 1 1 1
Direct
0.110 0.953 0.079
0.980 0.388 0.383
0.291 0.544 0.850
0.496 0.146 0.658
```

---

Density functional theory data (PBE-GGA) for crystalline La3SnO at its relaxed geometry.

Output
ΔE_f (raw)   -1.2915 eV per atom
N(E_F)   0.867 states/eV per atom
Uncorrected energy   -6.040 eV/atom

Structure (POSCAR):
```
La3SnO
1.0
1.088 3.811 -1.053
-3.117 -1.847 -1.920
-13.197 7.652 14.060
La O Sn
6 2 2
Direct
0.667 0.333 0.108
0.667 0.333 0.392
0.000 0.000 0.250
0.333 0.667 0.892
0.333 0.667 0.608
0.000 0.000 0.750
0.667 0.333 0.250
0.333 0.667 0.750
0.000 0.000 0.000
0.000 0.000 0.500
```

---

Density functional theory data (PBE-GGA) for crystalline CaSiP2 at its relaxed geometry.

Output
ΔE_f (raw)   -0.0567 eV per atom
N(E_F)   0.520 states/eV per atom
Uncorrected energy   -4.618 eV/atom

Structure (POSCAR):
```
CaSiP2
1.0
3.847 0.000 0.000
0.000 6.661 -0.014
0.000 4.481 3.120
P Si Ca
2 1 1
Direct
0.000 0.000 0.000
0.500 0.500 0.000
0.500 0.500 0.500
0.000 0.000 0.500
```

---

Density functional theory data (PBE-GGA) for crystalline Rb2LaNb2 at its relaxed geometry.

Output
N(E_F)   1.493 states/eV per atom
ΔE_f   1.38 eV/atom
Uncorrected energy   -4.017 eV/atom

Structure (POSCAR):
```
Rb2LaNb2
1.0
-6.660 -5.234 6.690
6.893 1.637 8.143
-1.508 2.825 0.709
Rb La Nb
4 2 4
Direct
0.713 0.213 0.000
0.787 0.713 0.000
0.213 0.287 0.000
0.287 0.787 0.000
0.000 0.000 0.000
0.500 0.500 0.000
0.428 0.072 0.500
0.928 0.428 0.500
0.572 0.928 0.500
0.072 0.572 0.500
```

---

Density functional theory data (PBE-GGA) for crystalline Mg2SiS4 at its relaxed geometry.

Output
ΔE_f (raw)   -1.0967 eV per atom
N(E_F)   0.000 states/eV per atom
Uncorrected energy   -4.686 eV/atom

Structure (POSCAR):
```
Mg2SiS4
1.0
5.490 -0.773 -3.043
-3.421 5.317 -0.171
-0.497 0.773 6.257
Mg S Si
2 4 1
Direct
0.500 0.250 0.750
0.500 0.750 0.250
0.560 0.394 0.394
0.000 0.166 0.606
0.440 0.834 0.834
0.000 0.606 0.166
0.000 0.500 0.500
```

---

Density functional theory data (PBE-GGA) for crystalline Na5Ge2O5 at its relaxed geometry.

Output
ΔE_f (raw)   -1.2963 eV per atom
N(E_F)   0.109 states/eV per atom
Uncorrected energy   -4.681 eV/atom

Structure (POSCAR):
```
Na5Ge2O5
1.0
-0.583 0.685 -3.247
-4.304 -3.409 1.803
-1.693 9.494 2.306
Ge O Na
2 5 5
Direct
0.049 0.099 0.784
0.951 0.901 0.216
0.353 0.706 0.247
0.904 0.808 0.616
0.647 0.294 0.753
0.000 0.000 0.000
0.096 0.192 0.384
0.350 0.700 0.938
0.650 0.300 0.062
0.500 0.000 0.500
0.258 0.517 0.628
0.742 0.483 0.372
```

---

Density functional theory data (PBE-GGA) for crystalline CaGa3Pb at its relaxed geometry.

Output
N(E_F)   0.556 states/eV per atom
ΔE_f   0.59 eV/atom
Uncorrected energy   -2.372 eV/atom

Structure (POSCAR):
```
CaGa3Pb
1.0
-1.063 -5.346 -0.632
3.136 -0.091 -4.503
4.376 -1.233 3.073
Ga Ca Pb
3 1 1
Direct
0.000 0.500 0.000
0.500 0.000 0.000
0.000 0.000 0.500
0.000 0.000 0.000
0.500 0.500 0.500
```

---

Density functional theory data (PBE-GGA) for crystalline NdPuAlIn at its relaxed geometry.

Output
N(E_F)   2.181 states/eV per atom
ΔE_f   -0.20 eV/atom
Uncorrected energy   -6.592 eV/atom

Structure (POSCAR):
```
NdPuAlIn
1.0
-4.967 -1.637 -0.961
-2.809 -2.368 3.843
-4.111 2.529 2.231
Nd In Al Pu
1 1 1 1
Direct
0.750 0.750 0.750
0.000 0.000 0.000
0.500 0.500 0.500
0.250 0.250 0.250
```

---

Density functional theory data (PBE-GGA) for crystalline Nd2Sm3Zn3 at its relaxed geometry.

Output
N(E_F)   1.200 states/eV per atom
ΔE_f   -0.22 eV/atom
Uncorrected energy   -3.660 eV/atom

Structure (POSCAR):
```
Nd2Sm3Zn3
1.0
-1.830 2.144 2.421
1.482 -3.181 3.938
9.239 6.580 -1.694
Sm Nd Zn
3 2 3
Direct
0.500 0.000 0.000
0.615 0.615 0.231
0.385 0.385 0.769
0.272 0.772 0.544
0.728 0.228 0.456
0.000 0.500 0.000
0.887 0.887 0.773
0.113 0.113 0.227
```

---

Density functional theory data (PBE-GGA) for crystalline Sm4In2Au at its relaxed geometry.

Output
N(E_F)   1.370 states/eV per atom
ΔE_f   -0.38 eV/atom
Uncorrected energy   -4.330 eV/atom

Structure (POSCAR):
```
Sm4In2Au
1.0
5.087 0.000 1.589
2.295 4.540 1.589
-0.072 -0.044 9.165
In Au Sm
2 1 4
Direct
0.753 0.753 0.741
0.247 0.247 0.259
0.000 0.000 0.000
0.375 0.375 0.876
0.123 0.123 0.630
0.877 0.877 0.370
0.625 0.625 0.124
```

---

Density functional theory data (PBE-GGA) for crystalline HoPu3Se4 at its relaxed geometry.

Output
ΔE_f (raw)   -1.5851 eV per atom
N(E_F)   3.674 states/eV per atom
Uncorrected energy   -9.274 eV/atom

Structure (POSCAR):
```
HoPu3Se4
1.0
-5.380 -0.702 -2.131
-0.323 -5.237 2.541
-2.220 2.463 4.794
Se Pu Ho
4 3 1
Direct
0.500 0.500 0.500
0.500 0.000 0.000
0.000 0.500 0.000
0.000 0.000 0.500
0.000 0.500 0.500
0.500 0.000 0.500
0.500 0.500 0.000
0.000 0.000 0.000
```

---

Density functional theory data (PBE-GGA) for crystalline CsCe4Br12 at its relaxed geometry.

Output
ΔE_f (raw)   -1.7783 eV per atom
N(E_F)   2.122 states/eV per atom
Uncorrected energy   -4.406 eV/atom

Structure (POSCAR):
```
CsCe4Br12
1.0
-2.700 -1.756 9.211
8.293 -4.769 -1.925
1.403 9.581 -1.208
Br Ce Cs
12 4 1
Direct
0.703 0.522 0.819
0.884 0.181 0.703
0.297 0.478 0.181
0.181 0.297 0.478
0.819 0.703 0.522
0.522 0.819 0.703
0.181 0.703 0.884
0.478 0.181 0.297
0.297 0.116 0.819
0.703 0.884 0.181
0.819 0.297 0.116
0.116 0.819 0.297
0.500 0.500 0.500
0.000 0.000 0.500
0.500 0.000 0.000
0.000 0.500 0.000
0.000 0.000 0.000
```

---

Density functional theory data (PBE-GGA) for crystalline Np2Cu2Ni15 at its relaxed geometry.

Output
N(E_F)   1.926 states/eV per atom
ΔE_f   -0.06 eV/atom
Uncorrected energy   -6.420 eV/atom

Structure (POSCAR):
```
Np2Cu2Ni15
1.0
6.251 -0.016 -0.014
0.795 6.200 -0.014
0.795 0.698 6.161
Ni Cu Np
15 2 2
Direct
0.844 0.347 0.347
0.347 0.844 0.347
0.000 0.697 0.303
0.156 0.653 0.653
0.303 0.000 0.697
0.697 0.303 0.000
0.000 0.000 0.500
0.000 0.303 0.697
0.347 0.347 0.844
0.653 0.156 0.653
0.000 0.500 0.000
0.653 0.653 0.156
0.500 0.000 0.000
0.697 0.000 0.303
0.303 0.697 0.000
0.902 0.902 0.902
0.098 0.098 0.098
0.657 0.657 0.657
0.343 0.343 0.343
```

---

Density functional theory data (PBE-GGA) for crystalline SmDy2Zn2Ge2 at its relaxed geometry.

Output
N(E_F)   1.014 states/eV per atom
ΔE_f   -0.46 eV/atom
Uncorrected energy   -4.131 eV/atom

Structure (POSCAR):
```
SmDy2Zn2Ge2
1.0
-2.458 3.243 -0.799
-3.450 0.585 2.225
3.786 7.438 7.780
Zn Ge Dy Sm
2 2 2 1
Direct
0.392 0.392 0.824
0.608 0.608 0.176
0.265 0.265 0.205
0.735 0.735 0.795
0.124 0.124 0.629
0.876 0.876 0.371
0.000 0.000 0.000
```

---

Density functional theory data (PBE-GGA) for crystalline Ag5PdAu4 at its relaxed geometry.

Output
N(E_F)   0.201 states/eV per atom
ΔE_f   0.12 eV/atom
Uncorrected energy   -3.132 eV/atom

Structure (POSCAR):
```
Ag5PdAu4
1.0
4.508 0.000 1.515
2.055 6.348 1.350
0.223 0.086 6.803
Pd Ag Au
1 5 4
Direct
0.250 0.000 0.000
0.992 0.426 0.089
0.750 0.500 0.500
0.508 0.574 0.911
0.992 0.089 0.426
0.508 0.911 0.574
0.250 0.669 0.331
0.907 0.843 0.843
0.593 0.157 0.157
0.250 0.331 0.669
```

---

Density functional theory data (PBE-GGA) for crystalline RbCeSm2 at its relaxed geometry.

Output
N(E_F)   1.841 states/eV per atom
ΔE_f   0.76 eV/atom
Uncorrected energy   -3.329 eV/atom

Structure (POSCAR):
```
RbCeSm2
1.0
-2.471 3.492 -0.281
-4.270 -0.390 -0.005
-2.333 1.836 10.633
Sm Ce Rb
2 1 1
Direct
0.119 0.119 0.642
0.881 0.881 0.358
0.500 0.500 0.500
0.000 0.000 0.000
```

---

Density functional theory data (PBE-GGA) for crystalline Sm5Ho12Sc at its relaxed geometry.

Output
N(E_F)   1.302 states/eV per atom
ΔE_f   0.03 eV/atom
Uncorrected energy   -4.689 eV/atom

Structure (POSCAR):
```
Sm5Ho12Sc
1.0
10.616 -0.005 0.009
5.313 9.127 -1.037
-0.006 -1.353 5.974
Sm Ho Sc
5 12 1
Direct
0.333 0.334 0.001
0.165 0.670 0.505
0.667 0.666 0.999
0.835 0.330 0.495
0.500 0.000 0.500
0.834 0.666 0.498
0.499 0.666 0.498
0.330 0.000 0.000
0.330 0.671 0.002
0.670 0.329 0.998
0.001 0.329 0.998
0.166 0.334 0.502
0.999 0.671 0.002
0.835 0.000 0.500
0.670 0.000 0.000
0.501 0.334 0.502
0.165 0.000 0.500
0.000 0.000 0.000
```